18
Lattice="-2.521 -3.460 3.304 1.252 -1.501 -5.042 7.963 -3.047 2.885" Properties=species:S:1:pos:R:3 comment="ErNbMoO6 | Alexandria | PBE+U | relaxed" m_tot_mub_per_atom=0.222 mass_density_g_cm3=6.586 final_energy_ev_per_atom=-8.190 pbc="T T T"
O 2.491 -2.775 0.653
Er 4.709 -5.093 2.685
O -1.036 -4.192 2.012
O 0.094 -3.776 -0.666
Mo 0.000 0.000 0.000
Er 1.985 -2.916 -1.539
O 5.433 -4.424 -2.047
O 7.730 -3.816 -0.866
Mo 3.981 -1.524 1.442
Nb 0.727 -3.569 1.243
O 4.203 -5.233 0.493
Nb 5.967 -4.440 -0.097
O 1.261 -3.584 3.193
O 6.600 -4.232 1.812
O 1.356 -5.467 0.943
O 5.338 -2.541 0.204
O 0.199 -1.619 1.323
O 6.495 -6.390 -0.177